1.
Computed, not measured: crystalline MnVSe2N at its relaxed geometry at the PBE level of DFT.

```
MnVSe2N
1.0
4.9118 0.0000 0.0000
0.0000 4.9118 0.0000
0.0000 0.0000 3.4358
Mn V Se N
1 1 2 1
Direct
0.0000 0.0000 0.0000
0.5000 0.5000 0.5000
0.0000 0.5000 0.0000
0.5000 0.0000 0.0000
0.0000 0.0000 0.5000
```

## Properties
E above lowest polymorph = 309 meV per atom
formation energy without anion corrections = 0.3737 eV per atom
DOS at the Fermi energy = 6.6 states/eV/f.u.

2.
Computed, not measured: crystalline MnWSeN2 at its relaxed geometry at the PBE level of DFT.

```
MnWSeN2
1.0
3.6913 0.0000 0.0000
0.0000 3.6913 0.0000
0.0000 0.0000 4.9595
Mn W Se N
1 1 1 2
Direct
0.0000 0.0000 0.0000
0.5000 0.5000 0.5000
0.0000 0.0000 0.5000
0.0000 0.5000 0.0000
0.5000 0.0000 0.0000
```

## Properties
E above lowest polymorph = 851 meV per atom
formation energy without anion corrections = 1.1697 eV per atom
DOS at the Fermi energy = 4.2 states/eV/f.u.

3.
Computed, not measured: crystalline MnWSeN2 at its relaxed geometry at the PBE level of DFT.

```
MnWSeN2
1.0
3.8977 0.0000 0.0000
0.0000 3.8977 0.0000
0.0000 0.0000 5.3418
Mn W Se N
1 1 1 2
Direct
0.0000 0.0000 0.0000
0.5000 0.5000 0.5000
0.5000 0.5000 0.0000
0.0000 0.5000 0.5000
0.5000 0.0000 0.5000
```

## Properties
E above lowest polymorph = 0 meV per atom
formation energy without anion corrections = 0.3191 eV per atom
DOS at the Fermi energy = 2.6 states/eV/f.u.

4.
Computed, not measured: crystalline YMnSeN2 at its relaxed geometry at the PBE level of DFT.

```
YMnSeN2
1.0
3.8149 0.0000 0.0000
0.0000 3.8149 0.0000
0.0000 0.0000 4.9346
Y Mn Se N
1 1 1 2
Direct
0.0000 0.0000 0.0000
0.5000 0.5000 0.5000
0.5000 0.5000 0.0000
0.0000 0.5000 0.5000
0.5000 0.0000 0.5000
```

## Properties
E above lowest polymorph = 0 meV per atom
formation energy without anion corrections = -0.1859 eV per atom
DOS at the Fermi energy = 2.3 states/eV/f.u.

5.
Computed, not measured: crystalline YMnSeN2 at its relaxed geometry at the PBE level of DFT.

```
YMnSeN2
1.0
4.3436 0.0000 0.0000
0.0000 4.3436 0.0000
0.0000 0.0000 5.6602
Y Mn Se N
1 1 1 2
Direct
0.0000 0.0000 0.0000
0.5000 0.5000 0.5000
0.0000 0.0000 0.5000
0.0000 0.5000 0.0000
0.5000 0.0000 0.0000
```

## Properties
E above lowest polymorph = 1571 meV per atom
formation energy without anion corrections = 1.3853 eV per atom
DOS at the Fermi energy = 10.6 states/eV/f.u.

6.
Computed, not measured: crystalline ZrMnSeN2 at its relaxed geometry at the PBE level of DFT.

```
ZrMnSeN2
1.0
3.7580 0.0000 0.0000
0.0000 3.7580 0.0000
0.0000 0.0000 4.7742
Zr Mn Se N
1 1 1 2
Direct
0.0000 0.0000 0.0000
0.5000 0.5000 0.5000
0.5000 0.5000 0.0000
0.0000 0.5000 0.5000
0.5000 0.0000 0.5000
```

## Properties
E above lowest polymorph = 0 meV per atom
formation energy without anion corrections = 0.1841 eV per atom
DOS at the Fermi energy = 4.1 states/eV/f.u.

7.
Computed, not measured: crystalline ZrMnSeN2 at its relaxed geometry at the PBE level of DFT.

```
ZrMnSeN2
1.0
4.1014 0.0000 0.0000
0.0000 4.1014 0.0000
0.0000 0.0000 5.6638
Zr Mn Se N
1 1 1 2
Direct
0.0000 0.0000 0.0000
0.5000 0.5000 0.5000
0.0000 0.0000 0.5000
0.0000 0.5000 0.0000
0.5000 0.0000 0.0000
```

## Properties
E above lowest polymorph = 141 meV per atom
formation energy without anion corrections = 0.3256 eV per atom
DOS at the Fermi energy = 2.7 states/eV/f.u.

8.
Computed, not measured: crystalline Mn2Si2N at its relaxed geometry at the PBE level of DFT.

```
Mn2Si2N
1.0
-1.5422 1.5422 6.2041
1.5422 -1.5422 6.2041
1.5422 1.5422 -6.2041
Mn Si N
2 2 1
Direct
0.2500 0.7500 0.5000
0.7500 0.2500 0.5000
0.0930 0.0930 0.0000
0.9070 0.9070 0.0000
0.5000 0.5000 0.0000
```

## Properties
E above lowest polymorph = 390 meV per atom
formation energy without anion corrections = 0.8784 eV per atom
DOS at the Fermi energy = 5.7 states/eV/f.u.

9.
Computed, not measured: crystalline MnSi3N at its relaxed geometry at the PBE level of DFT.

```
MnSi3N
1.0
4.3220 0.0000 0.0000
0.0000 4.3220 0.0000
0.0000 0.0000 4.3220
Mn Si N
1 3 1
Direct
0.0000 0.0000 0.0000
0.0000 0.0000 0.5000
0.0000 0.5000 0.0000
0.5000 0.0000 0.0000
0.5000 0.5000 0.5000
```

## Properties
E above lowest polymorph = 480 meV per atom
formation energy without anion corrections = 1.0182 eV per atom
DOS at the Fermi energy = 8.4 states/eV/f.u.

10.
Computed, not measured: crystalline Mn21Si2N6 at its relaxed geometry at the PBE level of DFT.

```
Mn21Si2N6
1.0
0.0000 5.1988 5.1988
5.1988 0.0000 5.1988
5.1988 5.1988 0.0000
Mn Si N
21 2 6
Direct
0.0000 0.0000 0.0000
0.0000 0.0000 0.3315
0.0000 0.0000 0.6685
0.0000 0.3315 0.0000
0.0000 0.3315 0.6685
0.0000 0.6685 0.0000
0.0000 0.6685 0.3315
0.1498 0.6167 0.6167
0.3315 0.0000 0.0000
0.3315 0.0000 0.6685
0.3315 0.6685 0.0000
0.3833 0.3833 0.3833
0.3833 0.3833 0.8502
0.3833 0.8502 0.3833
0.6167 0.1498 0.6167
0.6167 0.6167 0.1498
0.6167 0.6167 0.6167
0.6685 0.0000 0.0000
0.6685 0.0000 0.3315
0.6685 0.3315 0.0000
0.8502 0.3833 0.3833
0.2500 0.2500 0.2500
0.7500 0.7500 0.7500
0.2741 0.2741 0.7259
0.2741 0.7259 0.2741
0.2741 0.7259 0.7259
0.7259 0.2741 0.2741
0.7259 0.2741 0.7259
0.7259 0.7259 0.2741
```

## Properties
formation energy without anion corrections = -0.0846 eV per atom
DOS at the Fermi energy = 24.7 states/eV/f.u.

11.
Computed, not measured: crystalline MnSi3N at its relaxed geometry at the PBE level of DFT.

```
MnSi3N
1.0
3.9407 0.0000 0.0000
0.0000 3.9407 0.0000
0.0000 0.0000 3.9407
Mn Si N
1 3 1
Direct
0.0000 0.0000 0.0000
0.0000 0.5000 0.5000
0.5000 0.0000 0.5000
0.5000 0.5000 0.0000
0.5000 0.5000 0.5000
```

## Properties
E above lowest polymorph = 0 meV per atom
formation energy without anion corrections = 0.5387 eV per atom
DOS at the Fermi energy = 2.2 states/eV/f.u.

12.
Computed, not measured: crystalline Mn2Si2N at its relaxed geometry at the PBE level of DFT.

```
Mn2Si2N
1.0
5.3973 0.0000 0.0000
0.0000 5.3973 0.0000
0.0000 0.0000 4.0903
Mn Si N
4 4 2
Direct
0.1632 0.3368 0.0000
0.3368 0.8368 0.0000
0.6632 0.1632 0.0000
0.8368 0.6632 0.0000
0.1607 0.6607 0.5000
0.3393 0.1607 0.5000
0.6607 0.8393 0.5000
0.8393 0.3393 0.5000
0.0000 0.0000 0.5000
0.5000 0.5000 0.5000
```

## Properties
E above lowest polymorph = 0 meV per atom
formation energy without anion corrections = 0.4888 eV per atom
DOS at the Fermi energy = 5.4 states/eV/f.u.

13.
Computed, not measured: crystalline Sm2Mn2Si2N at its relaxed geometry at the PBE level of DFT.

```
Sm2Mn2Si2N
1.0
5.4069 -1.9813 0.0000
5.4069 1.9813 0.0000
-4.3878 0.0000 5.3389
Sm Mn Si N
2 2 2 1
Direct
0.0597 0.0597 0.2938
0.9403 0.9403 0.7062
0.3038 0.3038 0.9088
0.6962 0.6962 0.0912
0.3341 0.3341 0.2760
0.6659 0.6659 0.7240
0.5000 0.5000 0.0000
```

## Properties
formation energy without anion corrections = -0.8093 eV per atom
DOS at the Fermi energy = 4.2 states/eV/f.u.

14.
Computed, not measured: crystalline MnSiTeN2 at its relaxed geometry at the PBE level of DFT.

```
MnSiTeN2
1.0
3.7313 0.0000 0.0000
0.0000 3.7313 0.0000
0.0000 0.0000 5.3844
Mn Si Te N
1 1 1 2
Direct
0.0000 0.0000 0.0000
0.5000 0.5000 0.5000
0.0000 0.0000 0.5000
0.0000 0.5000 0.0000
0.5000 0.0000 0.0000
```

## Properties
E above lowest polymorph = 207 meV per atom
formation energy without anion corrections = 0.8826 eV per atom
DOS at the Fermi energy = 3.3 states/eV/f.u.

15.
Computed, not measured: crystalline MnSiTeN2 at its relaxed geometry at the PBE level of DFT.

```
MnSiTeN2
1.0
3.5909 0.0000 0.0000
0.0000 3.5909 0.0000
0.0000 0.0000 6.5628
Mn Si Te N
1 1 1 2
Direct
0.0000 0.0000 0.0000
0.5000 0.5000 0.5000
0.5000 0.5000 0.0000
0.0000 0.5000 0.5000
0.5000 0.0000 0.5000
```

## Properties
E above lowest polymorph = 0 meV per atom
formation energy without anion corrections = 0.6752 eV per atom
DOS at the Fermi energy = 2.2 states/eV/f.u.

16.
Computed, not measured: crystalline TiMnSi2N at its relaxed geometry at the PBE level of DFT.

```
TiMnSi2N
1.0
4.6282 0.0000 0.0000
0.0000 4.6282 0.0000
0.0000 0.0000 3.4374
Ti Mn Si N
1 1 2 1
Direct
0.0000 0.0000 0.0000
0.5000 0.5000 0.5000
0.0000 0.5000 0.5000
0.5000 0.0000 0.5000
0.5000 0.5000 0.0000
```

## Properties
E above lowest polymorph = 406 meV per atom
formation energy without anion corrections = 0.4319 eV per atom
DOS at the Fermi energy = 6.0 states/eV/f.u.

17.
Computed, not measured: crystalline TiMnSi2N at its relaxed geometry at the PBE level of DFT.

```
TiMnSi2N
1.0
4.1312 0.0000 0.0000
0.0000 4.1312 0.0000
0.0000 0.0000 3.5813
Ti Mn Si N
1 1 2 1
Direct
0.0000 0.0000 0.0000
0.5000 0.5000 0.0000
0.0000 0.5000 0.5000
0.5000 0.0000 0.5000
0.5000 0.5000 0.5000
```

## Properties
E above lowest polymorph = 0 meV per atom
formation energy without anion corrections = 0.0260 eV per atom
DOS at the Fermi energy = 2.9 states/eV/f.u.

18.
Computed, not measured: crystalline YMn2SiN at its relaxed geometry at the PBE level of DFT.

```
YMn2SiN
1.0
1.8045 -5.3083 0.0000
1.8045 5.3083 0.0000
0.0000 0.0000 6.9969
Y Mn Si N
2 4 2 2
Direct
0.0436 0.9564 0.7500
0.9564 0.0436 0.2500
0.3335 0.6665 0.5564
0.3335 0.6665 0.9436
0.6665 0.3335 0.0564
0.6665 0.3335 0.4436
0.2333 0.7667 0.2500
0.7667 0.2333 0.7500
0.5000 0.5000 0.0000
0.5000 0.5000 0.5000
```

## Properties
formation energy without anion corrections = -0.8226 eV per atom
DOS at the Fermi energy = 3.0 states/eV/f.u.

19.
Computed, not measured: crystalline Sm2MnN at its relaxed geometry at the PBE level of DFT.

```
Sm2MnN
1.0
1.7253 0.9961 8.8566
-1.7253 0.9961 8.8566
0.0000 -1.9922 8.8566
Sm Mn N
2 1 1
Direct
0.1141 0.1141 0.1141
0.8859 0.8859 0.8859
0.0000 0.0000 0.0000
0.5000 0.5000 0.5000
```

## Properties
formation energy without anion corrections = -0.2267 eV per atom
DOS at the Fermi energy = 2.3 states/eV/f.u.

20.
Computed, not measured: crystalline Sm2MnN4 at its relaxed geometry at the PBE level of DFT.

```
Sm2MnN4
1.0
7.0877 0.0000 0.0000
0.0000 5.4101 0.0000
0.0000 0.0000 9.8085
Sm Mn N
8 4 16
Direct
0.0096 0.2500 0.1880
0.1474 0.7500 0.4314
0.3526 0.2500 0.9314
0.4904 0.7500 0.6880
0.5096 0.2500 0.3120
0.6474 0.7500 0.0686
0.8526 0.2500 0.5686
0.9904 0.7500 0.8120
0.2203 0.7500 0.0767
0.2797 0.2500 0.5767
0.7203 0.7500 0.4233
0.7797 0.2500 0.9233
0.0220 0.2500 0.9182
0.1812 0.5060 0.6496
0.1812 0.9940 0.6496
0.1925 0.2500 0.4094
0.3075 0.7500 0.9094
0.3188 0.0060 0.1496
0.3188 0.4940 0.1496
0.4780 0.7500 0.4182
0.5220 0.2500 0.5818
0.6812 0.5060 0.8504
0.6812 0.9940 0.8504
0.6925 0.2500 0.0906
0.8075 0.7500 0.5906
0.8188 0.0060 0.3504
0.8188 0.4940 0.3504
0.9780 0.7500 0.0818
```

## Properties
formation energy without anion corrections = -0.9214 eV per atom
DOS at the Fermi energy = 2.5 states/eV/f.u.